# Na3Sn2Sb3 PBE relaxed
data_Na3Sn2Sb3
_chemical_formula_sum 'Na12 Sn8 Sb12'
_symmetry_space_group_name_H-M 'C m c m'
_symmetry_Int_Tables_number 63
_symmetry_space_group_name_Hall '-C 2c 2'
_cell_length_a 5.038
_cell_length_b 12.630
_cell_length_c 15.378
_cell_angle_alpha 90.00
_cell_angle_beta 90.00
_cell_angle_gamma 90.00
loop_
_atom_site_label
_atom_site_type_symbol
_atom_site_fract_x
_atom_site_fract_y
_atom_site_fract_z
Na1 Na 0.000 0.047 0.121
Na2 Na 0.000 0.309 0.250
Sn1 Sn 0.000 0.246 0.600
Sb1 Sb 0.000 0.393 0.051
Sb2 Sb 0.000 0.399 0.750
# size of the total moment = 0.00 μB/cell
# ρ = 4.6 g/cm3
# energy above the most stable polymorph in this dataset = 0.00 kJ/mol of atoms
# formation energy without anion corrections = -218 meV/atom